No. 1
CuSbPb: optimized geometry, PBE.

Results
- V: 24.8 Å³/atom
- Uncorrected energy: -0.1444 Ha/atom

Geometry as POSCAR:
```
CuSbPb
1.0
-2.584 -3.236 -0.149
4.345 -3.523 1.532
-0.377 2.659 5.944
Pb Sb Cu
2 2 2
Direct
0.643 0.866 0.284
0.357 0.134 0.716
0.097 0.328 0.192
0.903 0.672 0.808
0.271 0.624 0.543
0.729 0.376 0.457
```

No. 2
Tm3AlN: optimized geometry, PBE.

Results
- V: 20.6 Å³/atom
- Uncorrected energy: -0.2224 Ha/atom

Geometry as POSCAR:
```
Tm3AlN
1.0
4.686 0.000 0.000
0.000 4.686 0.000
0.000 0.000 4.686
Tm Al N
3 1 1
Direct
0.500 0.500 0.000
0.500 0.000 0.500
0.000 0.500 0.500
0.000 0.000 0.000
0.500 0.500 0.500
```

No. 3
Li5Tl2Hg5: optimized geometry, PBE.

Results
- V: 21.2 Å³/atom
- Uncorrected energy: -0.0573 Ha/atom
- E_form: -241 meV/atom

Geometry as POSCAR:
```
Li5Tl2Hg5
1.0
4.654 0.020 0.810
2.266 4.065 0.810
-0.239 -0.141 13.451
Li Tl Hg
5 2 5
Direct
0.853 0.853 0.438
0.380 0.380 0.861
0.620 0.620 0.139
0.147 0.147 0.562
0.000 0.000 0.000
0.073 0.073 0.777
0.927 0.927 0.223
0.500 0.500 0.500
0.307 0.307 0.076
0.216 0.216 0.349
0.784 0.784 0.651
0.693 0.693 0.924
```

No. 4
NaZrAg2F6: optimized geometry, PBE.

Results
- V: 16.2 Å³/atom
- Uncorrected energy: -0.1862 Ha/atom

Geometry as POSCAR:
```
NaZrAg2F6
1.0
6.134 0.001 -0.012
-3.066 5.298 0.026
-3.074 -1.748 4.999
Na Zr Ag F
1 1 2 6
Direct
0.996 0.498 0.480
0.997 0.998 0.980
0.495 0.747 0.233
0.499 0.249 0.728
0.530 0.822 0.730
0.463 0.173 0.230
0.928 0.764 0.213
0.043 0.286 0.205
0.949 0.709 0.755
0.066 0.232 0.748
```